Entry from Alexandria: a relaxed structure of Dy2HoTh2 (GGA-PBE).

Calculated values
Its total energy is -56.60 eV per cell. Its offset from the most stable computed form is 0 meV/atom. The space group is Immm, No. 71. Its volume is 321.1 Å³/cell. The total magnetization is 0.0 μB/f.u.

Unit cell a=3.504 b=5.792 c=15.821 alpha=90.00 beta=90.00 gamma=90.00
Sites, in units of the cell vectors:
Dy  0.000  0.000  0.101
Dy  0.000  0.000  0.899
Dy  0.500  0.500  0.399
Dy  0.500  0.500  0.601
Ho  0.000  0.000  0.500
Ho  0.500  0.500  0.000
Th  0.000  0.500  0.212
Th  0.000  0.500  0.788
Th  0.500  0.000  0.288
Th  0.500  0.000  0.712